VASP calculation (PBE) on a geometry-optimized AcZn2Pd structure.

## Properties
As for the crystal system: trigonal. As for the uncorrected energy: -3.441 eV per atom. The calculation puts the total moment at 0.00 Bohr magnetons per cell. The value obtained for the relative energy among the computed polymorphs is 25 kJ/mol of formula units. Its energy relative to the elements is -0.48 eV/atom.

abc: 4.408 4.408 5.977
angles: 68.36 68.36 60.00
Fractional positions:
Pd 0.500 0.500 0.500
Ac 0.000 0.000 0.000
Zn 0.204 0.204 0.389
Zn 0.796 0.796 0.611



VASP calculation (PBE) on a geometry-optimized Pm2Sm3Mg8 structure.

## Properties
As for the crystal system: trigonal. As for the uncorrected energy: -2.700 eV per atom. The calculation puts the total moment at 0.00 Bohr magnetons per cell. Its energy relative to the elements is 0.10 eV/atom.

abc: 5.890 5.890 13.024
angles: 76.93 76.93 60.00
Fractional positions:
Mg 0.771 0.269 0.691
Mg 0.731 0.229 0.309
Mg 0.275 0.275 0.176
Mg 0.269 0.771 0.691
Mg 0.229 0.731 0.309
Mg 0.731 0.731 0.309
Mg 0.269 0.269 0.691
Mg 0.725 0.725 0.824
Pm 0.361 0.361 0.918
Pm 0.639 0.639 0.082
Sm 0.000 0.000 0.000
Sm 0.184 0.184 0.448
Sm 0.816 0.816 0.552



VASP calculation (PBE) on a geometry-optimized DyMnIrPd structure.

## Properties
As for the crystal system: cubic. As for the uncorrected energy: -7.412 eV per atom. The calculation puts the total moment at 4.62 Bohr magnetons per cell. Its energy relative to the elements is -0.46 eV/atom.

abc: 4.652 4.652 4.652
angles: 60.00 60.00 60.00
Fractional positions:
Dy 0.750 0.750 0.750
Ir 0.000 0.000 0.000
Mn 0.250 0.250 0.250
Pd 0.500 0.500 0.500